*one*
A relaxed structure of AlPRu2. Source: the Alexandria database, functional GGA-PBE.

a = 3.7495 Å, b = 3.7495 Å, c = 14.5898 Å
α = 90.00°, β = 90.00°, γ = 120.00°
Space group R3m (No. 160, hexagonal axes)
Asymmetric unit:
Al (0.0000, 0.0000, 0.0000)
P (0.0000, 0.0000, 0.1734)
Ru (0.0000, 0.0000, 0.5683)
Ru (0.0000, 0.0000, 0.7693)

Results
- crystal system = trigonal


*two*
A relaxed structure of AlPRu2. Source: the Alexandria database, functional GGA-PBE.

a = 2.912 Å, b = 3.625 Å, c = 5.440 Å
α = 90.00°, β = 104.69°, γ = 90.00°
Space group P2/m (No. 10)
Asymmetric unit:
Al (0.000, 0.000, 0.000)
P (0.000, 0.000, 0.500)
Ru (0.350, 0.500, 0.730)

Results
- crystal system = monoclinic


Least stable of them? *one*.


*one*
A relaxed structure of AlPRu2. Source: the Alexandria database, functional GGA-PBE.

a = 2.940 Å, b = 4.752 Å, c = 8.215 Å
α = 90.00°, β = 90.00°, γ = 90.00°
Space group Cmm2 (No. 35)
Asymmetric unit:
Al (0.000, 0.000, 0.000)
P (0.000, 0.500, 0.737)
Ru (0.000, 0.000, 0.520)
Ru (0.000, 0.500, 0.240)

Results
- crystal system = orthorhombic


*two*
A relaxed structure of AlPRu2. Source: the Alexandria database, functional GGA-PBE.

a = 2.928 Å, b = 3.652 Å, c = 10.560 Å
α = 90.00°, β = 90.00°, γ = 90.00°
Space group Imm2 (No. 44)
Asymmetric unit:
Al (0.000, 0.000, 0.000)
P (0.000, 0.500, 0.741)
Ru (0.000, 0.000, 0.412)
Ru (0.000, 0.500, 0.174)

Results
- crystal system = orthorhombic


Least stable of them? *one*.